[1]
# Tl4OsSe

Crystalline Tl4OsSe at its relaxed geometry (GGA-PBE, Alexandria).

Cell: 8.741 8.741 8.741 Å, 90.00 90.00 90.00°
Space group F-43m (No. 216)
Asymmetric unit:
Tl (0.125, 0.125, 0.125) (multiplicity 16)
Os (0.250, 0.250, 0.750) (multiplicity 4)
Se (0.000, 0.000, 0.500) (multiplicity 4)

Energy relative to the elements, uncorrected, eV per atom: 1.06
Electronic total energy, Ry/atom: -0.2182
DOS(E_F), states/eV/f.u.: 4.84
Magnetization, μB/f.u.: 2.482

[2]
# SrAgTe2

Crystalline SrAgTe2 at its relaxed geometry (GGA-PBE, Alexandria).

Cell: 8.323 8.323 7.118 Å, 90.00 90.00 90.00°
Space group I-42d (No. 122)
Asymmetric unit:
Sr (0.000, 0.000, 0.000) (multiplicity 4)
Ag (0.000, 0.000, 0.500) (multiplicity 4)
Te (0.208, 0.250, 0.625) (multiplicity 8)

Energy relative to the elements, uncorrected, eV per atom: -0.75
Electronic total energy, Ry/atom: -0.2538
DOS(E_F), states/eV/f.u.: 1.00
Magnetization, μB/f.u.: 0.000

| no. | V (Å³ per atom) |
| --- | --- |
| 1 | 27.83 |
| 2 | 30.82 |